DFT (GGA+U) results for crystalline TaMn2CoO6 at its relaxed geometry.

Cell: 5.223 5.282 5.530 Å, 116.79 90.27 117.77°
Fractional coordinates of all 10 atoms:
1 Ta 0.000 0.000 0.000
2 Mn 0.286 0.567 0.857
3 Mn 0.786 0.586 0.389
4 Co 0.509 0.025 0.517
5 O 0.036 0.428 0.176
6 O 0.205 0.089 0.717
7 O 0.354 0.077 0.200
8 O 0.610 0.797 0.676
9 O 0.715 0.790 0.183
10 O 0.884 0.504 0.684

* calculated volume: 11.60 Å³/atom
* space group: P1
* electronic total energy: -8.084 eV per atom